[1]
Compound: ZnBi2I
Source: Alexandria
Functional: PBE
Structure: optimized geometry

Cell and atoms, written as POSCAR:
```
ZnBi2I
1.0
0.0000 3.8854 3.8854
3.8854 0.0000 3.8854
3.8854 3.8854 0.0000
Bi Zn I
2 1 1
Cartesian
5.8281 5.8281 5.8281 Bi
1.9427 1.9427 1.9427 Bi
0.0000 0.0000 0.0000 Zn
3.8854 3.8854 3.8854 I
```

Computed properties:
The calculation puts the theoretical density at 8.6 g/cm³. The space-group type is Fm-3m (225). As for the offset from the most stable computed form: 4.13 kcal/mol of atoms. The value obtained for the raw total energy is -2.31 eV/atom.

[2]
Compound: Zn3BiI
Source: Alexandria
Functional: PBE
Structure: optimized geometry

Cell and atoms, written as POSCAR:
```
Zn3BiI
1.0
5.5436 0.0000 0.0000
0.0000 5.5436 0.0000
0.0000 0.0000 5.5436
Zn I Bi
3 1 1
Cartesian
0.0000 2.7718 0.0000 Zn
2.7718 0.0000 0.0000 Zn
0.0000 0.0000 2.7718 Zn
2.7718 2.7718 2.7718 I
0.0000 0.0000 0.0000 Bi
```

Computed properties:
The calculation puts the theoretical density at 5.2 g/cm³. The space-group type is Pm-3m (221). As for the offset from the most stable computed form: 0.00 kcal/mol of atoms. The value obtained for the raw total energy is -1.63 eV/atom.

[3]
Compound: ZnBi5I2
Source: Alexandria
Functional: PBE
Structure: optimized geometry

Cell and atoms, written as POSCAR:
```
ZnBi5I2
1.0
6.1817 -0.0123 -1.5055
-0.0091 6.1815 -1.5049
-4.5600 -4.5722 10.6816
Zn I Bi
1 2 5
Cartesian
1.9672 1.9616 5.6537 Zn
0.2204 3.2538 4.2057 I
3.2546 0.2179 4.1971 I
-0.9044 -3.3594 9.4799 Bi
0.5154 0.5097 0.7309 Bi
2.7459 2.7444 1.4104 Bi
4.2550 4.2397 -0.8894 Bi
-3.3341 -0.9192 9.4749 Bi
```

Computed properties:
The calculation puts the theoretical density at 7.0 g/cm³. The space-group type is P1 (1). The value obtained for the raw total energy is -3.01 eV/atom.

[4]
Compound: ZnBi2I
Source: Alexandria
Functional: PBE
Structure: optimized geometry

Cell and atoms, written as POSCAR:
```
ZnBi2I
1.0
-2.1357 3.9903 -1.2900
-4.1236 -2.2616 -0.1687
-5.0623 3.5334 10.7262
Zn I Bi
2 2 4
Cartesian
-6.1578 1.0681 4.9141 Zn
-3.1297 0.8643 -0.7294 Zn
-5.1638 4.1940 4.3534 I
0.0000 0.0000 0.0000 I
-3.0186 2.9129 1.9129 Bi
-4.2070 0.1503 2.3561 Bi
-6.3317 3.1954 7.4899 Bi
-9.0859 4.2656 6.7759 Bi
```

Computed properties:
The calculation puts the theoretical density at 7.7 g/cm³. The space-group type is I-42d (122). As for the offset from the most stable computed form: 0.00 kcal/mol of atoms. The value obtained for the raw total energy is -2.49 eV/atom.

[5]
Compound: ZnBiI3
Source: Alexandria
Functional: PBE
Structure: optimized geometry

Cell and atoms, written as POSCAR:
```
ZnBiI3
1.0
-0.3899 -5.3773 -1.2727
5.4745 -0.2023 -0.8226
0.7520 -1.3156 5.3283
I Zn Bi
3 1 1
Cartesian
-0.1949 -2.6887 -0.6364 I
2.7372 -0.1011 -0.4113 I
0.3760 -0.6578 2.6642 I
0.0000 0.0000 0.0000 Zn
2.9183 -3.4476 1.6165 Bi
```

Computed properties:
The calculation puts the theoretical density at 6.4 g/cm³. The space-group type is Pm-3m (221). As for the offset from the most stable computed form: 2.28 kcal/mol of atoms. The value obtained for the raw total energy is -1.89 eV/atom.

[6]
Compound: Zn3BiI9
Source: Alexandria
Functional: PBE
Structure: optimized geometry

Cell and atoms, written as POSCAR:
```
Zn3BiI9
1.0
9.4459 0.0000 3.9749
4.3186 10.0524 2.9483
0.3190 -0.2296 12.4530
I Zn Bi
18 6 2
Cartesian
2.8978 5.9106 4.5090 I
7.2760 7.9076 9.2691 I
2.1963 0.7696 9.8077 I
9.9880 7.5461 5.7981 I
12.0482 9.8273 15.1499 I
3.3795 5.5908 8.6069 I
6.4712 9.0181 4.7788 I
6.7635 4.9159 6.2013 I
10.1537 2.7965 7.1103 I
4.8417 6.7908 13.0208 I
8.9510 3.8771 11.4163 I
8.0565 0.6794 3.8501 I
3.8782 1.8794 5.8905 I
5.1778 2.7666 13.9801 I
10.2016 4.1650 15.5547 I
12.0839 9.3060 10.7528 I
9.0281 7.7079 13.3615 I
5.7635 2.4051 9.6144 I
13.7627 9.3745 17.0995 Zn
4.1710 4.4631 6.3384 Zn
9.4236 0.4452 6.1054 Zn
7.4472 7.4202 6.6850 Zn
10.2571 5.3566 13.1810 Zn
6.9058 2.2793 12.0511 Zn
2.3345 5.0261 1.6112 Bi
4.6620 -0.1148 8.1845 Bi
```

Computed properties:
The calculation puts the theoretical density at 4.4 g/cm³. The space-group type is Cc (9). The value obtained for the raw total energy is -2.15 eV/atom.